[1]
A plane-wave DFT calculation with PBE was carried out for a geometry-optimized CeEuC structure.

Summary:
The value obtained for the formation energy is -0.01 eV/atom. Its calculated total energy is -25.46 eV/f.u. As for the space-group type: No. 156.

Unit cell a=3.6610 b=3.6610 c=6.5979 alpha=90.00 beta=90.00 gamma=120.00
Last column: nearest neighbours and their distance in Å.
Element x y z (fractional)
Eu 0.0000 0.0000 0.1030  3 C 2.72
C 0.6667 0.3333 0.3617  3 Ce 2.40
Ce 0.3333 0.6667 0.5353  3 C 2.40

---

[2]
A plane-wave DFT calculation with PBE was carried out for a geometry-optimized Na3CaTe structure.

Summary:
For the energy relative to the elements, uncorrected, the calculation gives 0.479 eV/atom. Its calculated total energy is -6.70 eV/f.u. As for the space-group type: No. 221.

Unit cell a=6.1519 b=6.1519 c=6.1519 alpha=90.00 beta=90.00 gamma=90.00
Last column: nearest neighbours and their distance in Å.
Element x y z (fractional)
Na 0.0000 0.5000 0.0000  2 Ca 3.08
Na 0.0000 0.0000 0.5000  2 Ca 3.08
Na 0.5000 0.0000 0.0000  2 Ca 3.08
Ca 0.0000 0.0000 0.0000  6 Na 3.08
Te 0.5000 0.5000 0.5000  12 Na 4.35

---

[3]
A plane-wave DFT calculation with PBE was carried out for a geometry-optimized PmCoBi2 structure.

Summary:
The value obtained for the formation energy is -0.01 eV/atom. Its calculated total energy is -19.66 eV/f.u. As for the space-group type: No. 123.

Unit cell a=4.3524 b=4.8321 c=4.8321 alpha=90.00 beta=90.00 gamma=90.00
Last column: nearest neighbours and their distance in Å.
Element x y z (fractional)
Co 0.5000 0.5000 0.5000  8 Bi 3.25, 4 Pm 3.42
Bi 0.0000 0.0000 0.5000  4 Co 3.25, 4 Pm 3.25, 4 Bi 3.42
Bi 0.0000 0.5000 0.0000  4 Co 3.25, 4 Pm 3.25, 4 Bi 3.42
Pm 0.5000 0.0000 0.0000  8 Bi 3.25, 4 Co 3.42

---

Values for calculated volume, Å³/atom, ordered as above
25.53, 46.56, 25.41
Values for size of the total moment, μB/f.u., ordered as above
7.87, 0.77, 1.62
Values for relative energy among the computed polymorphs, eV per atom, ordered as above
0.000, 0.709, 0.000